w.
CuTeSe: relaxed, PBE-GGA.

The structure in POSCAR format:
```
CuTeSe
1.0
0.0000 3.2375 3.2375
3.2375 0.0000 3.2375
3.2375 3.2375 0.0000
Cu Te Se
1 1 1
Cartesian
0.0000 0.0000 0.0000 Cu
1.6187 1.6187 1.6187 Te
4.8562 4.8562 4.8562 Se
```

x.
CuTeSe: relaxed, PBE-GGA.

The structure in POSCAR format:
```
CuTeSe
1.0
6.4093 0.0000 0.0000
0.0000 6.4093 0.0000
0.0000 0.0000 6.4093
Cu Te Se
4 4 4
Cartesian
0.0753 0.0753 0.0753 Cu
3.1294 6.3340 3.2800 Cu
3.2800 3.1294 6.3340 Cu
6.3340 3.2800 3.1294 Cu
0.7744 3.9791 5.6349 Te
2.4302 2.4302 2.4302 Te
3.9791 5.6349 0.7744 Te
5.6349 0.7744 3.9791 Te
0.7283 5.6810 2.4763 Se
2.4763 0.7283 5.6810 Se
3.9330 3.9330 3.9330 Se
5.6810 2.4763 0.7283 Se
```

Pick x: it beats the second-best structure by 257 meV per atom.

w.
CuTe2Se4: relaxed, PBE-GGA.

The structure in POSCAR format:
```
CuTe2Se4
1.0
7.0334 0.0000 0.0000
0.0000 11.4494 0.0000
0.0000 0.0000 4.2818
Cu Te Se
2 4 8
Cartesian
0.0000 0.0000 0.0000 Cu
3.5167 5.7247 0.0000 Cu
0.5332 3.7614 2.1409 Te
2.9835 9.4861 2.1409 Te
4.0499 1.9633 2.1409 Te
6.5003 7.6880 2.1409 Te
0.9435 9.2545 0.0000 Se
1.6464 0.5877 2.1409 Se
1.8703 6.3124 2.1409 Se
2.5733 3.5298 0.0000 Se
4.4602 7.9196 0.0000 Se
5.1631 5.1370 2.1409 Se
5.3871 10.8617 2.1409 Se
6.0900 2.1949 0.0000 Se
```

x.
CuTe2Se4: relaxed, PBE-GGA.

The structure in POSCAR format:
```
CuTe2Se4
1.0
0.0000 7.0316 3.9273
7.0255 0.0000 3.9273
7.0255 7.0316 0.0000
Cu Te Se
2 4 8
Cartesian
0.0000 0.0000 0.0000 Cu
3.5128 3.5158 1.9636 Cu
10.3618 6.8538 2.9391 Te
6.8490 3.6937 4.9028 Te
3.6893 7.2095 2.9391 Te
7.2020 10.3696 4.9028 Te
5.3603 4.8362 2.8732 Se
12.2035 8.3520 4.8369 Se
9.2208 5.3656 4.9714 Se
8.6907 9.2271 2.8732 Se
12.7336 12.2135 6.9350 Se
8.8731 12.7429 4.8369 Se
4.8302 8.6977 4.9714 Se
8.3430 8.8814 6.9350 Se
```

Pick x: it beats the second-best structure by 55 meV per atom.

w.
CuTe2Se2: relaxed, PBE-GGA.

The structure in POSCAR format:
```
CuTe2Se2
1.0
6.6632 0.0000 0.0000
0.0000 6.6632 0.0000
0.0000 0.0000 5.6642
Cu Te Se
2 4 4
Cartesian
0.0000 0.0000 0.0000 Cu
3.3316 3.3316 0.0000 Cu
1.5134 1.8182 2.8321 Te
1.8182 5.1498 2.8321 Te
4.8449 1.5134 2.8321 Te
5.1498 4.8449 2.8321 Te
1.1804 2.1512 0.0000 Se
2.1512 5.4828 0.0000 Se
4.5120 1.1804 0.0000 Se
5.4828 4.5120 0.0000 Se
```

x.
CuTe2Se2: relaxed, PBE-GGA.

The structure in POSCAR format:
```
CuTe2Se2
1.0
5.7499 -2.6811 0.0000
5.7499 2.6811 0.0000
-0.1830 0.0000 8.9839
Cu Te Se
2 4 4
Cartesian
5.6127 1.9618 6.7379 Cu
5.7042 -1.9618 2.2460 Cu
4.2788 0.3379 8.2636 Te
4.3703 -0.3379 3.7717 Te
6.9466 0.3379 5.2122 Te
7.0381 -0.3379 0.7203 Te
4.0800 1.7781 1.5236 Se
7.3284 1.7781 2.9683 Se
3.9886 -1.7781 6.0156 Se
7.2369 -1.7781 7.4603 Se
```

y.
CuTe2Se2: relaxed, PBE-GGA.

The structure in POSCAR format:
```
CuTe2Se2
1.0
7.5719 0.0000 0.0000
0.0000 7.5719 0.0000
0.0000 0.0000 4.6265
Cu Te Se
2 4 4
Cartesian
0.0000 0.0000 0.0000 Cu
3.7859 3.7859 0.0000 Cu
1.5404 2.2455 0.0000 Te
2.2455 6.0315 0.0000 Te
5.3263 1.5404 0.0000 Te
6.0315 5.3263 0.0000 Te
1.2710 5.0569 2.3133 Se
2.5149 1.2710 2.3133 Se
5.0569 6.3008 2.3133 Se
6.3008 2.5149 2.3133 Se
```

Pick x: it beats the second-best structure by 119 meV per atom.